Crystalline Ac6AsRu2Cl3 at its relaxed geometry, computed with PBE.

Structure (extended XYZ):
```
12
Lattice="-4.848 -2.588 5.315 7.526 -0.040 1.347 -1.393 8.042 0.820" Properties=species:S:1:pos:R:3 pbc="T T T"
Ac 1.623 -0.209 4.928
Ru 3.403 -0.889 2.669
Cl 0.642 2.707 3.741
As 0.000 0.000 0.000
Ac -1.277 3.940 6.378
Ac 2.561 1.474 1.103
Ru -0.725 -1.739 3.993
Ac 3.108 4.842 4.972
Cl 4.778 3.558 2.415
Ac -1.824 0.571 2.509
Cl -3.493 1.855 5.067
Ac -0.339 5.622 2.553
```

Computed properties:
Uncorrected formation energy (eV per formula unit): -13.494
DOS(E_F) (states/eV/atom): 0.8693
V (A^3/atom): 32.90


Crystalline Ac4AsRuCl2 at its relaxed geometry, computed with PBE.

Structure (extended XYZ):
```
8
Lattice="-0.498 4.051 -1.419 -6.430 -2.245 -4.149 -2.614 2.174 7.124" Properties=species:S:1:pos:R:3 pbc="T T T"
Cl -4.522 -0.035 1.487
Ac -2.460 1.914 -0.251
Ac -3.877 1.082 4.450
As 0.000 0.000 0.000
Ac -7.082 2.067 1.807
Ac -5.167 -1.153 -1.475
Ru -3.464 0.903 -2.784
Cl -1.556 3.113 2.852
```

Computed properties:
Uncorrected formation energy (eV per formula unit): -9.688
DOS(E_F) (states/eV/atom): 0.6191
V (A^3/atom): 32.64


Crystalline Ac4As2SCl at its relaxed geometry, computed with PBE.

Structure (extended XYZ):
```
8
Lattice="-0.362 3.848 -2.236 -3.926 -3.528 -5.437 -7.591 0.253 1.664" Properties=species:S:1:pos:R:3 pbc="T T T"
S -5.758 -1.637 -1.887
Cl -9.735 0.413 -2.173
Ac -3.302 3.063 -3.111
As -7.591 0.253 1.664
As -3.976 2.050 -0.286
Ac -8.576 -2.490 -2.898
Ac -6.782 1.236 -1.234
Ac -5.097 -0.663 -4.775
```

Computed properties:
Uncorrected formation energy (eV per formula unit): -13.227
DOS(E_F) (states/eV/atom): 0.4920
V (A^3/atom): 30.96


Crystalline Ac4AsS2Cl at its relaxed geometry, computed with PBE.

Structure (extended XYZ):
```
8
Lattice="6.165 0.336 0.000 -0.336 6.165 0.000 -2.915 -3.251 6.187" Properties=species:S:1:pos:R:3 pbc="T T T"
S -0.535 2.674 3.093
Ac 2.380 5.926 0.000
Ac -0.367 -0.409 3.047
As 5.463 6.092 0.000
S 2.716 -0.241 3.093
Cl 2.550 2.844 0.000
Ac 2.548 2.842 3.139
Ac 5.632 3.010 0.000
```

Computed properties:
Uncorrected formation energy (eV per formula unit): -13.832
DOS(E_F) (states/eV/atom): 0.6228
V (A^3/atom): 29.48


Crystalline Ac6As2S3Cl at its relaxed geometry, computed with PBE.

Structure (extended XYZ):
```
12
Lattice="-4.276 -0.310 1.034 0.358 -8.712 -1.131 4.292 1.343 8.748" Properties=species:S:1:pos:R:3 pbc="T T T"
As 0.819 -2.464 2.651
Ac -1.369 -0.453 3.607
Ac 0.099 -1.293 9.426
S -0.647 -0.808 6.488
Ac 0.275 -6.386 -0.775
As -0.445 -5.215 6.000
Ac 1.743 -7.226 5.044
Ac -1.209 -4.860 2.950
Cl -2.138 -0.155 0.517
S 1.021 -6.871 2.163
Ac 1.583 -2.819 5.701
S -1.959 -4.511 -0.048
```

Computed properties:
Uncorrected formation energy (eV per formula unit): -21.117
DOS(E_F) (states/eV/atom): 0.4368
V (A^3/atom): 30.08


Crystalline Ac4SiAsCl2 at its relaxed geometry, computed with PBE.

Structure (extended XYZ):
```
8
Lattice="-3.157 -0.565 -3.197 -1.591 -6.895 2.789 -5.636 0.538 5.471" Properties=species:S:1:pos:R:3 pbc="T T T"
Si -3.613 -3.178 4.130
Ac -5.391 -4.642 6.144
Cl -4.396 -0.014 1.137
Ac -4.216 -5.179 1.872
Cl -5.636 0.538 5.471
Ac -4.993 -2.280 -1.080
As -2.374 -3.730 -0.204
Ac -6.168 -1.743 3.192
```

Computed properties:
Uncorrected formation energy (eV per formula unit): -10.814
DOS(E_F) (states/eV/atom): 0.5773
V (A^3/atom): 31.84


Crystalline Ac6Si2As3Cl at its relaxed geometry, computed with PBE.

Structure (extended XYZ):
```
12
Lattice="4.525 0.000 0.000 0.000 9.129 0.323 -2.262 -2.635 9.548" Properties=species:S:1:pos:R:3 pbc="T T T"
Si 0.000 2.121 3.213
Ac 0.000 2.416 0.117
Ac 2.262 4.078 9.753
Ac 0.000 2.066 6.466
As 2.262 -0.273 6.498
As 0.000 6.766 3.373
As 2.262 4.565 0.161
Ac 2.262 -0.102 3.295
Si 2.262 4.373 6.658
Ac 2.262 4.427 3.404
Cl 2.262 0.000 0.000
Ac 0.000 6.595 6.576
```

Computed properties:
Uncorrected formation energy (eV per formula unit): -14.351
DOS(E_F) (states/eV/atom): 0.2324
V (A^3/atom): 33.19


Crystalline AcSmAsCl at its relaxed geometry, computed with PBE.

Structure (extended XYZ):
```
4
Lattice="5.256 0.000 0.000 2.628 4.552 0.000 2.628 1.517 4.291" Properties=species:S:1:pos:R:3 pbc="T T T"
As 0.000 0.000 0.000
Sm 7.884 4.552 3.218
Cl 5.256 3.034 2.146
Ac 2.628 1.517 1.073
```

Computed properties:
Uncorrected formation energy (eV per formula unit): -5.211
DOS(E_F) (states/eV/atom): 0.7804
V (A^3/atom): 25.66


Question: Look up the DOS(E_F) of the second one.
Answer: 0.6191 states/eV/atom